Record 1
# LaTb4PmNd2

LaTb4PmNd2 after structural relaxation (PBE-GGA, the Alexandria database).

Lattice parameters (Å, degrees): 3.642 6.285 11.953 79.69 90.00 90.00
Positions (direct):
Nd (0.000, 0.000, 0.000)
Nd (0.500, 0.000, 0.500)
Tb (0.000, 0.249, 0.252)
Tb (0.500, 0.749, 0.251)
Tb (0.500, 0.251, 0.749)
Tb (0.000, 0.751, 0.748)
Pm (0.000, 0.500, 0.500)
La (0.500, 0.500, 0.000)

=====

Record 2
# Os4W5

Os4W5 after structural relaxation (PBE-GGA, the Alexandria database).

**Polymorph energy (0 for the lowest one)**: 122 meV/atom

Lattice parameters (Å, degrees): 7.716 7.716 5.450 90.00 90.00 60.00
Positions (direct):
W (0.667, 0.000, 0.250)
W (0.667, 0.333, 0.750)
W (0.333, 0.000, 0.750)
W (0.333, 0.333, 0.500)
W (0.667, 0.667, 0.500)
W (0.000, 0.667, 0.750)
W (0.667, 0.667, 0.000)
W (0.333, 0.333, 0.000)
W (0.333, 0.667, 0.250)
W (0.000, 0.333, 0.250)
Os (0.329, 0.000, 0.250)
Os (0.671, 0.329, 0.250)
Os (0.000, 0.329, 0.750)
Os (0.000, 0.000, 0.000)
Os (0.329, 0.671, 0.750)
Os (0.671, 0.000, 0.750)
Os (0.000, 0.000, 0.500)
Os (0.000, 0.671, 0.250)

=====

Computed energy of formation from the pure elements (kJ per mole of atoms) in order:
1.4, 24.1
Computed final energy (eV for the cell shown) in order:
-37.62, -214.87